Record 1
The following is a GGA-PBE calculation of a geometry-optimized BC2 structure, from Alexandria.

Summary:
As for the energy above the most stable polymorph in this dataset: 0.24 eV per formula unit. As for the electronic total energy: -24.17 eV per formula unit. The value obtained for the magnetization is 0.00 μB/f.u. For the energy relative to the elements, the calculation gives 319 meV/atom. The calculation puts the volume at 76 Å³/cell.

Cell: 2.5447 4.5709 6.5774 Å, 92.06 90.00 90.00°
With the nearest neighbours (Å) after each atom.
Fractional coordinates of all 12 atoms:
C1 0.5000 0.1744 0.6708  3 C 1.56-1.62, 1 B 1.62
B1 0.5000 0.8742 0.3523  3 C 1.56-1.60
B2 0.5000 0.1767 0.9177  4 C 1.62-1.68
C2 0.0000 0.6735 0.6690  4 C 1.56-1.61
C3 0.5000 0.5231 0.9837  2 B 1.52-1.63, 2 C 1.54
C4 0.0000 0.3340 0.5944  3 C 1.56-1.61, 1 B 1.61
B3 0.0000 0.3044 0.3502  2 C 1.61-1.66, 2 B 1.77
C5 0.5000 0.8335 0.5933  3 C 1.56-1.62, 1 B 1.60
C6 0.0000 0.9821 0.0109  2 C 1.49-1.54
C7 0.0000 0.9729 0.2370  1 C 1.49, 3 B 1.56-1.66
C8 0.0000 0.6741 0.9086  4 C 1.54-1.58
B4 0.5000 0.4772 0.2121  1 C 1.52

---

Record 2
The following is a GGA-PBE calculation of a geometry-optimized SrAs2Pt structure, from Alexandria.

Summary:
As for the electronic total energy: -17.98 eV per formula unit. The value obtained for the magnetization is 0.00 μB/f.u. For the energy relative to the elements, the calculation gives -240 meV/atom. The calculation puts the volume at 84 Å³/cell.

Cell: 4.9173 4.9173 4.9173 Å, 60.00 60.00 60.00°
With the nearest neighbours (Å) after each atom.
Fractional coordinates of all 4 atoms:
Sr1 0.0000 0.0000 0.0000  8 As 3.01
As1 0.7500 0.7500 0.7500  4 Sr 3.01, 4 Pt 3.01
Pt1 0.5000 0.5000 0.5000  8 As 3.01
As2 0.2500 0.2500 0.2500  4 Pt 3.01, 4 Sr 3.01

---

Record 3
The following is a GGA-PBE calculation of a geometry-optimized Mg2ScCr structure, from Alexandria.

Summary:
As for the energy above the most stable polymorph in this dataset: 0.13 eV per formula unit. As for the electronic total energy: -18.32 eV per formula unit. The value obtained for the magnetization is 3.15 μB/f.u. For the energy relative to the elements, the calculation gives 205 meV/atom. The calculation puts the volume at 82 Å³/cell.

Cell: 5.4150 5.4150 5.4150 Å, 133.61 133.61 67.70°
With the nearest neighbours (Å) after each atom.
Fractional coordinates of all 4 atoms:
Mg1 0.0000 0.0000 0.0000  4 Mg 3.02, 4 Cr 3.10, 4 Sc 3.10
Mg2 0.5000 0.5000 0.0000  4 Mg 3.02, 4 Sc 3.10, 4 Cr 3.10
Sc1 0.2500 0.7500 0.5000  4 Cr 3.02, 8 Mg 3.10
Cr1 0.7500 0.2500 0.5000  4 Sc 3.02, 8 Mg 3.10

---

Record 4
The following is a GGA-PBE calculation of a geometry-optimized Ce4Ir3Au structure, from Alexandria.

Summary:
As for the electronic total energy: -58.99 eV per formula unit. The value obtained for the magnetization is 0.00 μB/f.u. For the energy relative to the elements, the calculation gives -674 meV/atom. The calculation puts the volume at 174 Å³/cell.

Cell: 3.4935 7.9145 7.9276 Å, 86.69 63.85 63.82°
With the nearest neighbours (Å) after each atom.
Fractional coordinates of all 8 atoms:
Ce1 0.4648 0.7476 0.2873  4 Ir 2.81-3.13, 2 Au 3.07, 1 Ce 3.12
Ir1 0.9954 0.9712 0.0334  6 Ce 2.91-3.13, 1 Ir 3.03, 1 Au 3.07
Ce2 0.5365 0.2118 0.7517  4 Ir 2.82-3.13, 2 Au 3.07, 1 Ce 3.10
Ce3 0.9993 0.2639 0.2369  6 Ir 2.91-3.04
Ce4 0.9993 0.7721 0.7288  4 Ir 2.95, 2 Ce 3.10-3.12, 2 Au 3.13
Au1 0.5005 0.5330 0.9665  2 Ir 3.06-3.07, 8 Ce 3.07-3.41
Ir2 0.5007 0.0341 0.4652  6 Ce 2.81-3.04, 2 Ir 3.03
Ir3 0.0032 0.4671 0.5299  6 Ce 2.91-3.13, 1 Ir 3.03, 1 Au 3.06

---

Record 5
The following is a GGA-PBE calculation of a geometry-optimized Zr2TiCo structure, from Alexandria.

Summary:
As for the energy above the most stable polymorph in this dataset: 0.00 eV per formula unit. As for the electronic total energy: -32.58 eV per formula unit. The value obtained for the magnetization is 0.00 μB/f.u. For the energy relative to the elements, the calculation gives -122 meV/atom. The calculation puts the volume at 74 Å³/cell.

Cell: 3.1162 5.5035 5.8613 Å, 121.58 120.46 74.28°
With the nearest neighbours (Å) after each atom.
Fractional coordinates of all 4 atoms:
Zr1 0.7688 0.8922 0.6282  2 Co 2.57-2.60
Co1 0.6506 0.8564 0.0174  2 Ti 2.41-2.44, 4 Zr 2.57-2.70
Ti1 0.2927 0.4891 0.9766  2 Co 2.41-2.44
Zr2 0.2879 0.2983 0.3778  2 Co 2.68-2.70, 1 Zr 2.96

---

Record 6
The following is a GGA-PBE calculation of a geometry-optimized LiAs2Pd structure, from Alexandria.

Summary:
As for the energy above the most stable polymorph in this dataset: 1.07 eV per formula unit. As for the electronic total energy: -16.96 eV per formula unit. The value obtained for the magnetization is 0.00 μB/f.u. For the energy relative to the elements, the calculation gives -137 meV/atom. The calculation puts the volume at 75 Å³/cell.

Cell: 3.1618 3.1618 8.8857 Å, 79.75 79.75 60.00°
With the nearest neighbours (Å) after each atom.
Fractional coordinates of all 4 atoms:
Li1 0.0000 0.0000 0.0000  2 As 2.47
Pd1 0.5000 0.5000 0.5000  6 As 2.62
As1 0.9052 0.9052 0.2845  1 Li 2.47, 3 Pd 2.62
As2 0.0948 0.0948 0.7155  1 Li 2.47, 3 Pd 2.62

---

Copy entry 3 word for word.
The following is a GGA-PBE calculation of a geometry-optimized Mg2ScCr structure, from Alexandria.

Summary:
As for the energy above the most stable polymorph in this dataset: 0.13 eV per formula unit. As for the electronic total energy: -18.32 eV per formula unit. The value obtained for the magnetization is 3.15 μB/f.u. For the energy relative to the elements, the calculation gives 205 meV/atom. The calculation puts the volume at 82 Å³/cell.

Cell: 5.4150 5.4150 5.4150 Å, 133.61 133.61 67.70°
With the nearest neighbours (Å) after each atom.
Fractional coordinates of all 4 atoms:
Mg1 0.0000 0.0000 0.0000  4 Mg 3.02, 4 Cr 3.10, 4 Sc 3.10
Mg2 0.5000 0.5000 0.0000  4 Mg 3.02, 4 Sc 3.10, 4 Cr 3.10
Sc1 0.2500 0.7500 0.5000  4 Cr 3.02, 8 Mg 3.10
Cr1 0.7500 0.2500 0.5000  4 Sc 3.02, 8 Mg 3.10

---

Q: What is the formula in the first record?
A: BC2

---

Q: What is the magnetization in the sixth record?
A: 0.00 μB/f.u.